# 1
# PmPrTmTl

PmPrTmTl after structural relaxation (PBE, Alexandria via LeMat-Bulk).

Calculated values
ΔH_f (0 K) = -0.073 eV/atom
Distance to the lowest polymorph of the same formula = 117 meV per atom

Unit cell a=5.5715 b=5.5715 c=5.5715 alpha=60.00 beta=60.00 gamma=60.00
Last column: nearest neighbours and their distance in Å.
Atoms (fractional coordinates):
Pr 0.7500 0.7500 0.7500  4 Tm 3.41, 4 Tl 3.41
Tl 0.0000 0.0000 0.0000  4 Pm 3.41, 4 Pr 3.41
Pm 0.2500 0.2500 0.2500  4 Tl 3.41, 4 Tm 3.41
Tm 0.5000 0.5000 0.5000  4 Pr 3.41, 4 Pm 3.41

---

# 2
# Na3TbPr2S6

Na3TbPr2S6 after structural relaxation (PBE, Alexandria via LeMat-Bulk).

Calculated values
Energy relative to the elements, uncorrected = -173.6 kJ/mol of atoms

Unit cell a=7.1251 b=7.1251 c=7.1046 alpha=99.63 beta=99.63 gamma=120.00
Last column: nearest neighbours and their distance in Å.
Atoms (fractional coordinates):
S 0.9224 0.5981 0.7673  1 Tb 2.79, 2 Pr 2.87, 3 Na 2.95-3.03
S 0.2471 0.2471 0.7688  1 Tb 2.78, 2 Pr 2.86, 3 Na 2.95-3.03
S 0.0776 0.4019 0.2327  1 Tb 2.79, 2 Pr 2.87, 3 Na 2.95-3.03
S 0.7529 0.7529 0.2312  1 Tb 2.78, 2 Pr 2.86, 3 Na 2.95-3.03
S 0.5981 0.9224 0.7673  1 Tb 2.79, 2 Pr 2.87, 3 Na 2.95-3.03
S 0.4019 0.0776 0.2327  1 Tb 2.79, 2 Pr 2.87, 3 Na 2.95-3.03
Pr 0.3334 0.6666 0.0000  6 S 2.86-2.87
Pr 0.6666 0.3334 0.0000  6 S 2.86-2.87
Na 0.5000 0.5000 0.5000  6 S 2.95-3.03
Na 0.8338 0.1662 0.5000  6 S 2.95-3.03
Na 0.1662 0.8338 0.5000  6 S 2.95-3.03
Tb 0.0000 0.0000 0.0000  6 S 2.78-2.79

---

# 3
# Tc7Ir

Tc7Ir after structural relaxation (PBE, Alexandria via LeMat-Bulk).

Calculated values
ΔH_f (0 K) = -0.014 eV/atom

Unit cell a=5.4848 b=5.4848 c=5.4848 alpha=120.00 beta=120.00 gamma=60.00
Last column: nearest neighbours and their distance in Å.
Atoms (fractional coordinates):
Tc 0.0000 0.5000 0.0000  10 Tc 2.74, 2 Ir 2.74
Tc 0.5000 0.5000 0.5000  12 Tc 2.74
Tc 0.5000 0.0000 0.0000  10 Tc 2.74, 2 Ir 2.74
Tc 0.0000 0.0000 0.5000  10 Tc 2.74, 2 Ir 2.74
Tc 0.0000 0.5000 0.5000  2 Ir 2.74, 10 Tc 2.74
Tc 0.5000 0.5000 0.0000  10 Tc 2.74, 2 Ir 2.74
Tc 0.5000 0.0000 0.5000  10 Tc 2.74, 2 Ir 2.74
Ir 0.0000 0.0000 0.0000  12 Tc 2.74

---

no.,M_tot (μB per cell)
1,0.934
2,0.000
3,0.000